A plane-wave DFT calculation with meta-GGA SCAN was carried out for Mn2CoBr at its PBEsol-relaxed geometry.

Values from the calculation:
energy relative to the lowest polymorph listed for this composition	526	meV per atom
spin magnetization	9.78	μB per formula unit
calculated density	7.32	g cm⁻³
E_tot	-17.858	eV per atom
Fermi-level density of states	2.07	states/eV/f.u.
raw formation energy	460	meV/atom
volume	14.1	Å³/atom

a b c (Å): 3.622 3.622 8.598
angles (deg): 90.00 90.00 90.00
Space group I-4m2 (No. 119)
Symmetry-distinct sites (fractional):
1 Mn 0.000 0.000 0.000
2 Mn 0.000 0.500 0.250
3 Co 0.000 0.500 0.750
4 Br 0.000 0.000 0.500